No. 1
NaZnIn2C | the Alexandria database | PBE | relaxed; symmetry = P4/mmm; formation energy = 0.682 eV/atom
1.0
4.731 0.000 0.000
0.000 4.731 0.000
0.000 0.000 4.865
Na Zn In C
1 1 2 1
Cartesian
0.000 0.000 0.000
2.365 2.365 0.000
0.000 2.365 2.432
2.365 0.000 2.432
0.000 0.000 2.432

---

No. 2
CoAs2Br | the Alexandria database | PBE | relaxed; symmetry = Immm; energy relative to the elements, uncorrected = 0.3448 eV/atom; excess energy over the best structure of this formula in the dataset = 469 meV per atom
1.0
-1.492 2.289 5.360
1.492 -2.289 5.360
1.492 2.289 -5.360
Co As Br
1 2 1
Cartesian
0.000 0.000 0.000
1.492 0.000 1.985
0.000 2.289 3.375
0.000 0.000 5.360

---

No. 3
La2NpPt9 | the Alexandria database | PBE | relaxed; symmetry = R-3m; formation energy = -0.789 eV/atom
1.0
2.727 1.575 9.019
-2.727 1.575 9.019
0.000 -3.149 9.019
La Np Pt
2 1 9
Cartesian
0.000 0.000 3.753
0.000 0.000 23.305
0.000 0.000 0.000
-1.374 -0.793 11.278
0.000 0.000 9.000
0.000 -1.586 15.780
-1.374 0.793 15.780
0.000 0.000 13.529
1.374 -0.793 11.278
0.000 1.586 11.278
0.000 0.000 18.058
1.374 0.793 15.780

---

No. 4
TaReRu2 | the Alexandria database | PBE | relaxed; symmetry = I4/mmm; formation energy = -0.091 eV/atom; excess energy over the best structure of this formula in the dataset = 19 meV per atom
1.0
-1.984 1.984 3.857
1.984 -1.984 3.857
1.984 1.984 -3.857
Ta Re Ru
1 1 2
Cartesian
0.000 0.000 0.000
0.000 0.000 3.857
1.984 0.000 1.929
0.000 1.984 1.929

---

No. 5
Cs2AlF4 | the Alexandria database | PBE | relaxed; symmetry = I4/mmm; energy relative to the elements, uncorrected = -2.7911 eV/atom
1.0
-1.938 1.938 11.085
1.938 -1.938 11.085
1.938 1.938 -11.085
Cs Al F
2 1 4
Cartesian
0.000 0.000 3.166
0.000 0.000 19.003
0.000 0.000 11.085
1.938 0.000 0.000
0.000 0.000 9.318
0.000 1.938 0.000
0.000 0.000 12.852

---

No. 6
PtPbAu2 | the Alexandria database | PBE | relaxed; symmetry = Cmmm; formation energy = 0.095 eV/atom
1.0
2.862 -4.086 0.000
2.862 4.086 0.000
0.000 0.000 3.390
Pt Pb Au
1 1 2
Cartesian
0.000 0.000 0.000
2.862 0.000 0.000
1.431 2.043 1.695
1.431 -2.043 1.695

---

No. 7
In4PPb | the Alexandria database | PBE | relaxed; symmetry = F-43m; formation energy = 0.365 eV/atom
1.0
0.000 4.343 4.343
4.343 0.000 4.343
4.343 4.343 0.000
In P Pb
4 1 1
Cartesian
1.082 1.082 1.082
3.261 3.261 1.082
3.261 1.082 3.261
1.082 3.261 3.261
6.514 6.514 6.514
4.343 4.343 4.343

---

No. 8
NbZn2HAu | the Alexandria database | PBE | relaxed; symmetry = P4/mmm; excess energy over the best structure of this formula in the dataset = 0 meV per atom
1.0
4.193 0.000 0.000
0.000 4.193 0.000
0.000 0.000 3.851
Nb Zn H Au
1 2 1 1
Cartesian
0.000 0.000 0.000
0.000 2.096 1.926
2.096 0.000 1.926
0.000 0.000 1.926
2.096 2.096 0.000